(1)
# ScTe2Pt | the Alexandria database | PBE | relaxed
data_ScTe2Pt
_cell_length_a 3.979
_cell_length_b 4.002
_cell_length_c 11.640
_cell_angle_alpha 90.00
_cell_angle_beta 90.00
_cell_angle_gamma 90.00
_symmetry_space_group_name_H-M 'A m m 2'
_symmetry_Int_Tables_number 38
loop_
_symmetry_equiv_pos_as_xyz
'x,y,z'
'-x,-y,z'
'-x,y,z'
'x,-y,z'
'x,y+1/2,z+1/2'
'-x,-y+1/2,z+1/2'
'-x,y+1/2,z+1/2'
'x,-y+1/2,z+1/2'
loop_
_atom_site_label
_atom_site_type_symbol
_atom_site_fract_x
_atom_site_fract_y
_atom_site_fract_z
Sc1 Sc 0.000 0.000 0.000
Te1 Te 0.000 0.000 0.701
Te2 Te 0.500 0.000 0.417
Pt1 Pt 0.500 0.000 0.180
# Uncorrected formation energy in eV per formula unit: -3.1
# Mass density in g/cm3: 8.87
# DOS(E_F) in states/eV per cell: 5.7
# DFT total energy in eV per atom: -5.45
# Crystal system: orthorhombic
# Total moment in μB per cell: 0.0

---

(2)
# CsBaNi2 | the Alexandria database | PBE | relaxed
data_CsBaNi2
_cell_length_a 8.512
_cell_length_b 8.512
_cell_length_c 6.707
_cell_angle_alpha 90.00
_cell_angle_beta 90.00
_cell_angle_gamma 90.00
_symmetry_space_group_name_H-M 'I -4 2 d'
_symmetry_Int_Tables_number 122
_symmetry_space_group_name_Hall 'I -4 2bw'
loop_
_atom_site_label
_atom_site_type_symbol
_atom_site_fract_x
_atom_site_fract_y
_atom_site_fract_z
Cs1 Cs 0.000 0.000 0.000
Ba1 Ba 0.000 0.000 0.500
Ni1 Ni 0.237 0.250 0.625
# DFT formation energy in eV/atom: 0.848
# Mass density in g/cm3: 5.30
# DOS(E_F) in states/eV per cell: 15.3
# DFT total energy in eV per atom: -2.74
# Crystal system: tetragonal
# Total moment in μB per cell: 0.0

---

(3)
# DyClO | the Alexandria database | PBE | relaxed
data_DyClO
_cell_length_a 3.786
_cell_length_b 4.184
_cell_length_c 9.134
_cell_angle_alpha 90.00
_cell_angle_beta 90.00
_cell_angle_gamma 90.00
_symmetry_space_group_name_H-M 'P m m n'
_symmetry_Int_Tables_number 59
loop_
_symmetry_equiv_pos_as_xyz
'x,y,z'
'-x,-y,-z'
'-x+1/2,-y+1/2,z'
'x+1/2,y+1/2,-z'
'x+1/2,-y,-z'
'-x+1/2,y,z'
'-x,y+1/2,-z'
'x,-y+1/2,z'
loop_
_atom_site_label
_atom_site_type_symbol
_atom_site_fract_x
_atom_site_fract_y
_atom_site_fract_z
Dy1 Dy 0.250 0.250 0.117
Cl1 Cl 0.250 0.750 0.675
O1 O 0.250 0.750 0.028
# Uncorrected formation energy in eV per formula unit: -9.2
# Mass density in g/cm3: 4.91
# DOS(E_F) in states/eV per cell: 0.0
# DFT total energy in eV per atom: -6.87
# Crystal system: orthorhombic
# Total moment in μB per cell: 0.0

---

(4)
# Y2MnPbN | the Alexandria database | PBE | relaxed
data_Y2MnPbN
_cell_length_a 5.569
_cell_length_b 5.569
_cell_length_c 3.580
_cell_angle_alpha 90.00
_cell_angle_beta 90.00
_cell_angle_gamma 90.00
_symmetry_space_group_name_H-M 'P 4/m m m'
_symmetry_Int_Tables_number 123
_symmetry_space_group_name_Hall '-P 4 2'
loop_
_atom_site_label
_atom_site_type_symbol
_atom_site_fract_x
_atom_site_fract_y
_atom_site_fract_z
Y1 Y 0.000 0.500 0.000
Mn1 Mn 0.000 0.000 0.000
Pb1 Pb 0.500 0.500 0.500
N1 N 0.000 0.000 0.500
# Uncorrected formation energy in eV per formula unit: -0.4
# Mass density in g/cm3: 6.79
# DOS(E_F) in states/eV per cell: 4.4
# DFT total energy in eV per atom: -6.91
# Crystal system: tetragonal
# Total moment in μB per cell: 0.9

---

(5)
# AlOF2 | the Alexandria database | PBE | relaxed
data_AlOF2
_cell_length_a 5.214
_cell_length_b 5.214
_cell_length_c 5.214
_cell_angle_alpha 90.00
_cell_angle_beta 90.00
_cell_angle_gamma 90.00
_symmetry_space_group_name_H-M 'F m -3 m'
_symmetry_Int_Tables_number 225
_symmetry_space_group_name_Hall '-F 4 2 3'
loop_
_atom_site_label
_atom_site_type_symbol
_atom_site_fract_x
_atom_site_fract_y
_atom_site_fract_z
Al1 Al 0.000 0.000 0.000
O1 O 0.000 0.000 0.500
F1 F 0.250 0.250 0.250
# Uncorrected formation energy in eV per formula unit: -4.3
# Mass density in g/cm3: 3.79
# DOS(E_F) in states/eV per cell: 14.2
# DFT total energy in eV per atom: -4.20
# Crystal system: cubic
# Total moment in μB per cell: 4.0

---

(6)
# PuPd2Au9 | the Alexandria database | PBE | relaxed
data_PuPd2Au9
_cell_length_a 11.311
_cell_length_b 11.311
_cell_length_c 7.314
_cell_angle_alpha 90.00
_cell_angle_beta 90.00
_cell_angle_gamma 90.00
_symmetry_space_group_name_H-M 'I 41/a m d'
_symmetry_Int_Tables_number 141
loop_
_symmetry_equiv_pos_as_xyz
'x,y,z'
'-x,-y,-z'
'-y+1/4,x+3/4,z+1/4'
'y+1/4,-x+3/4,-z+1/4'
'-x+1/2,-y,z+1/2'
'x+1/2,y,-z+1/2'
'y+1/4,-x+1/4,z+3/4'
'-y+1/4,x+1/4,-z+3/4'
'x,-y,-z'
'-x,y,z'
'-y+1/4,-x+1/4,-z+3/4'
'y+1/4,x+1/4,z+3/4'
'-x+1/2,y,-z+1/2'
'x+1/2,-y,z+1/2'
'y+1/4,x+3/4,-z+1/4'
'-y+1/4,-x+3/4,z+1/4'
'x+1/2,y+1/2,z+1/2'
'-x+1/2,-y+1/2,-z+1/2'
'-y+3/4,x+1/4,z+3/4'
'y+3/4,-x+1/4,-z+3/4'
'-x,-y+1/2,z'
'x,y+1/2,-z'
'y+3/4,-x+3/4,z+1/4'
'-y+3/4,x+3/4,-z+1/4'
'x+1/2,-y+1/2,-z+1/2'
'-x+1/2,y+1/2,z+1/2'
'-y+3/4,-x+3/4,-z+1/4'
'y+3/4,x+3/4,z+1/4'
'-x,y+1/2,-z'
'x,-y+1/2,z'
'y+3/4,x+1/4,-z+3/4'
'-y+3/4,-x+1/4,z+3/4'
loop_
_atom_site_label
_atom_site_type_symbol
_atom_site_fract_x
_atom_site_fract_y
_atom_site_fract_z
Pu1 Pu 0.000 0.250 0.375
Pd1 Pd 0.000 0.000 0.000
Au1 Au 0.000 0.250 0.875
Au2 Au 0.120 0.048 0.676
# DFT formation energy in eV/atom: -0.116
# Mass density in g/cm3: 15.83
# DOS(E_F) in states/eV per cell: 96.9
# DFT total energy in eV per atom: -4.63
# Crystal system: tetragonal
# Total moment in μB per cell: 22.7

---

Repeat the second record exactly.
# CsBaNi2 | the Alexandria database | PBE | relaxed
data_CsBaNi2
_cell_length_a 8.512
_cell_length_b 8.512
_cell_length_c 6.707
_cell_angle_alpha 90.00
_cell_angle_beta 90.00
_cell_angle_gamma 90.00
_symmetry_space_group_name_H-M 'I -4 2 d'
_symmetry_Int_Tables_number 122
_symmetry_space_group_name_Hall 'I -4 2bw'
loop_
_atom_site_label
_atom_site_type_symbol
_atom_site_fract_x
_atom_site_fract_y
_atom_site_fract_z
Cs1 Cs 0.000 0.000 0.000
Ba1 Ba 0.000 0.000 0.500
Ni1 Ni 0.237 0.250 0.625
# DFT formation energy in eV/atom: 0.848
# Mass density in g/cm3: 5.30
# DOS(E_F) in states/eV per cell: 15.3
# DFT total energy in eV per atom: -2.74
# Crystal system: tetragonal
# Total moment in μB per cell: 0.0

---

Copy entry 4 word for word.
# Y2MnPbN | the Alexandria database | PBE | relaxed
data_Y2MnPbN
_cell_length_a 5.569
_cell_length_b 5.569
_cell_length_c 3.580
_cell_angle_alpha 90.00
_cell_angle_beta 90.00
_cell_angle_gamma 90.00
_symmetry_space_group_name_H-M 'P 4/m m m'
_symmetry_Int_Tables_number 123
_symmetry_space_group_name_Hall '-P 4 2'
loop_
_atom_site_label
_atom_site_type_symbol
_atom_site_fract_x
_atom_site_fract_y
_atom_site_fract_z
Y1 Y 0.000 0.500 0.000
Mn1 Mn 0.000 0.000 0.000
Pb1 Pb 0.500 0.500 0.500
N1 N 0.000 0.000 0.500
# Uncorrected formation energy in eV per formula unit: -0.4
# Mass density in g/cm3: 6.79
# DOS(E_F) in states/eV per cell: 4.4
# DFT total energy in eV per atom: -6.91
# Crystal system: tetragonal
# Total moment in μB per cell: 0.9